# PBE-GGA Cs2TlI2Br6, relaxed
data_Cs2TlI2Br6
_chemical_formula_sum 'Cs4 Tl2 I4 Br12'
_cell_length_a 14.313
_cell_length_b 7.819
_cell_length_c 11.192
_cell_angle_alpha 90.00
_cell_angle_beta 126.24
_cell_angle_gamma 90.00
_space_group_name_H-M_alt 'C 1 2/m 1'
_space_group_IT_number 12
_space_group_name_Hall '-C 2y'
loop_
_atom_site_label
_atom_site_type_symbol
_atom_site_fract_x
_atom_site_fract_y
_atom_site_fract_z
_atom_site_occupancy
Cs1 Cs 0.247 0.000 0.191 1
Tl1 Tl 0.000 0.500 0.000 1
I1 I 0.114 0.000 0.448 1
Br1 Br 0.036 0.242 0.851 1
Br2 Br 0.242 0.000 0.745 1
# Energy relative to the elements, uncorrected   -0.75 eV per atom
# Final energy   -2.3159 eV/atom
# DOS(E_F)   1.77 states/eV/f.u.